1.
A relaxed SiTe2Cl crystal, computed with GGA-PBE.

Properties
Energy relative to the lowest polymorph listed for this composition (meV/atom): 465
Space-group type: F-43m
Mass density (g/cm³): 5.48
E (eV/atom): -3.009
Energy relative to the elements, uncorrected (kJ per mole of atoms): 36.6

abc: 5.151 5.151 5.151
angles: 60.00 60.00 60.00
Positions (direct):
Cl1 0.500 0.500 0.500
Si1 0.750 0.750 0.750
Te1 0.000 0.000 0.000
Te2 0.250 0.250 0.250

2.
A relaxed RbPPb2W crystal, computed with GGA-PBE.

Properties
Space-group type: P4/mmm
Energy of formation (eV/atom): 0.29
Mass density (g/cm³): 8.01
E (eV/atom): -5.056

abc: 5.551 4.809 5.551
angles: 90.00 90.00 90.00
Positions (direct):
Pb1 0.000 0.000 0.500
Pb2 0.500 0.000 0.000
P1 0.000 0.500 0.000
Rb1 0.500 0.500 0.500
W1 0.000 0.000 0.000

Repeat the second record exactly.
A relaxed RbPPb2W crystal, computed with GGA-PBE.

Properties
Space-group type: P4/mmm
Energy of formation (eV/atom): 0.29
Mass density (g/cm³): 8.01
E (eV/atom): -5.056

abc: 5.551 4.809 5.551
angles: 90.00 90.00 90.00
Positions (direct):
Pb1 0.000 0.000 0.500
Pb2 0.500 0.000 0.000
P1 0.000 0.500 0.000
Rb1 0.500 0.500 0.500
W1 0.000 0.000 0.000

Question: Number 1 is which compound?
Answer: SiTe2Cl

Question: What is the mass density in the second record?
Answer: 8.01 g/cm³